The following is a DFT calculation (PBE) of an optimized crystal structure of PdBr3.

Computed properties:
- symmetry = I-42d

```
8
Lattice="-4.743 4.743 2.647 4.743 -4.743 2.647 4.743 4.743 -2.647" Properties=species:S:1:pos:R:3 pbc="T T T"
Pd 0.000 0.000 0.000
Pd 0.000 4.743 1.324
Br 4.743 0.000 1.324
Br 0.824 2.371 0.662
Br 0.000 0.000 2.647
Br -2.371 3.919 1.985
Br -0.824 7.114 0.662
Br 2.371 5.567 1.985
```



The following is a DFT calculation (PBE) of an optimized crystal structure of PdBr.

Computed properties:
- symmetry = I4/m

```
8
Lattice="-4.279 4.279 2.631 4.279 -4.279 2.631 4.279 4.279 -2.631" Properties=species:S:1:pos:R:3 pbc="T T T"
Pd 6.218 0.731 0.000
Pd 0.731 2.340 0.000
Pd 3.548 1.939 2.631
Pd -1.939 3.548 2.631
Br 3.188 1.674 0.000
Br 2.605 -1.091 2.631
Br 1.674 5.370 0.000
Br 1.091 2.605 2.631
```



The following is a DFT calculation (PBE) of an optimized crystal structure of PdBr.

Computed properties:
- symmetry = P6_3/m

```
12
Lattice="9.645 0.000 0.000 -4.822 8.352 0.000 0.000 0.000 3.856" Properties=species:S:1:pos:R:3 pbc="T T T"
Pd -1.526 3.932 0.964
Pd -0.654 7.708 0.964
Pd 2.642 3.288 2.892
Pd 2.180 5.064 0.964
Pd 5.476 0.644 2.892
Pd 6.348 4.420 2.892
Br -1.972 6.606 2.892
Br 0.087 3.342 2.892
Br 2.938 1.595 0.964
Br 1.885 6.757 2.892
Br 4.735 5.011 0.964
Br 6.794 1.746 0.964
```



The following is a DFT calculation (PBE) of an optimized crystal structure of PdBr.

Computed properties:
- symmetry = P2_12_12_1

```
16
Lattice="6.268 0.000 0.000 0.000 7.286 0.000 0.000 0.000 8.469" Properties=species:S:1:pos:R:3 pbc="T T T"
Pd 0.371 0.576 1.950
Pd 0.911 5.587 4.221
Pd 2.223 1.698 8.455
Pd 2.763 6.709 6.185
Pd 3.505 3.066 6.519
Pd 4.045 5.341 4.248
Pd 5.357 1.944 0.014
Pd 5.897 4.219 2.284
Br 0.635 1.054 6.753
Br 0.834 2.447 3.446
Br 2.300 4.838 7.681
Br 2.499 6.232 2.518
Br 3.769 2.589 1.716
Br 3.968 1.196 5.023
Br 5.434 6.090 0.788
Br 5.633 4.697 5.951
```



The following is a DFT calculation (PBE) of an optimized crystal structure of PdBr3.

Computed properties:
- symmetry = Cmcm

```
8
Lattice="1.759 -6.647 0.000 1.759 6.647 0.000 0.000 0.000 11.505" Properties=species:S:1:pos:R:3 pbc="T T T"
Pd 1.759 4.727 8.628
Pd 1.759 -4.727 2.876
Br 1.759 3.716 2.876
Br 1.759 0.626 1.248
Br 1.759 0.626 4.504
Br 1.759 -0.626 7.000
Br 1.759 -0.626 10.257
Br 1.759 -3.716 8.628
```



The following is a DFT calculation (PBE) of an optimized crystal structure of PmPdBr.

Computed properties:
- symmetry = Pm
- offset from the most stable computed form (kcal/mol of atoms) = 2.88

```
6
Lattice="5.167 0.000 0.000 0.000 3.865 0.000 -0.886 0.000 7.518" Properties=species:S:1:pos:R:3 pbc="T T T"
Pm 0.000 0.000 0.000
Pm 1.684 0.000 4.472
Pd 1.649 1.932 6.533
Pd 4.214 1.932 5.408
Br -0.023 1.932 2.754
Br 2.583 0.000 1.414
```



Formation energy without anion corrections (computed, eV/atom): -0.001 0.032 -0.022 -0.043 -0.012 -1.109